Below is a relaxed structure of Na6Hg6Pb, with properties calculated at the PBE level.

Results
Its mass density is 7.03 g/cm³. As for the formation energy: -162 meV/atom.

Unit cell a=6.4004 b=6.4004 c=10.6025 alpha=90.00 beta=90.00 gamma=122.59
Atoms (fractional coordinates):
Na1 0.0000 0.0000 0.6835
Na2 0.0000 0.0000 0.3165
Na3 0.3366 0.6634 0.0000
Na4 0.6634 0.3366 0.0000
Na5 0.3376 0.6624 0.5000
Na6 0.6624 0.3376 0.5000
Hg1 0.0000 0.5000 0.7530
Hg2 0.5000 0.0000 0.7530
Hg3 0.5000 0.5000 0.7527
Hg4 0.5000 0.0000 0.2470
Hg5 0.0000 0.5000 0.2470
Hg6 0.5000 0.5000 0.2473
Pb1 0.0000 0.0000 0.0000


Below is a relaxed structure of Na7Hg2Pb2, with properties calculated at the PBE level.

Results
Its mass density is 4.98 g/cm³. As for the formation energy: -139 meV/atom. The energy relative to the lowest polymorph listed for this composition comes out at 0.0 meV/atom.

Unit cell a=6.3629 b=6.3629 c=8.2466 alpha=98.10 beta=98.10 gamma=94.22
Atoms (fractional coordinates):
Na1 0.8999 0.5174 0.1972
Na2 0.4826 0.1001 0.8028
Na3 0.1001 0.4826 0.8028
Na4 0.5174 0.8999 0.1972
Na5 0.0000 0.0000 0.0000
Na6 0.8387 0.8387 0.5797
Na7 0.1613 0.1613 0.4203
Hg1 0.6211 0.6211 0.8685
Hg2 0.3789 0.3789 0.1315
Pb1 0.3235 0.6765 0.5000
Pb2 0.6765 0.3235 0.5000


Below is a relaxed structure of NaHg7Pb2, with properties calculated at the PBE level.

Results
Its mass density is 11.24 g/cm³. As for the formation energy: -37 meV/atom.

Unit cell a=3.3316 b=6.1284 c=13.6759 alpha=102.95 beta=90.00 gamma=90.00
Atoms (fractional coordinates):
Na1 0.0000 0.0000 0.0000
Hg1 0.0000 0.8079 0.6159
Hg2 0.0000 0.1921 0.3841
Hg3 0.5000 0.6617 0.8082
Hg4 0.5000 0.3383 0.1918
Hg5 0.5000 0.8535 0.1918
Hg6 0.5000 0.1465 0.8082
Hg7 0.5000 0.5000 0.0000
Pb1 0.5000 0.7000 0.4000
Pb2 0.5000 0.3000 0.6000